H3Pd3Pt: relaxed, PBE.

a = 5.8294 Å, b = 7.5992 Å, c = 6.5345 Å
α = 90.00°, β = 90.08°, γ = 90.00°
Last column: nearest neighbours and their distance in Å.
Space group C2/m (No. 12)
Symmetry-distinct sites (fractional):
H 0.0129 0.1485 0.2475 (multiplicity 8)  1 Pt 1.81, 3 Pd 1.84-1.92
H 0.2026 0.5000 0.9920 (multiplicity 4)  1 Pt 1.72, 1 Pd 1.80
Pd 0.0000 0.2578 0.5000 (multiplicity 4)  2 H 1.85
Pd 0.0000 0.2642 0.0000 (multiplicity 4)  2 H 1.84
Pd 0.2478 0.5000 0.2645 (multiplicity 4)  3 H 1.80-1.92
Pt 0.2447 0.5000 0.7317 (multiplicity 4)  3 H 1.72-1.81

Summary:
Relative energy among the computed polymorphs: 0.03 eV per formula unit